A relaxed structure of Sr3YHg4. Source: Alexandria, functional PBE.

Fermi-level density of states, states/eV per cell: 5.96
Formation energy from the elements, kJ/mol of formula units: -399
VASP energy, eV/atom: -2.11

a b c (Å): 3.897 3.897 15.960
angles (deg): 90.00 90.00 90.00
Space group P4/mmm (No. 123)
Unique sites:
Sr: 0.000 0.000 0.000 x1
Sr: 0.000 0.000 0.259 x2
Y: 0.000 0.000 0.500 x1
Hg: 0.500 0.500 0.130 x2
Hg: 0.500 0.500 0.393 x2